No. 1
# TbYMgIn, optimized geometry, DFT PBE
# Raw total energy   -4.19 eV per atom
data_TbYMgIn
_chemical_formula_sum 'Tb4 Y4 Mg4 In4'
_cell_length_a 7.5233
_cell_length_b 7.5233
_cell_length_c 7.5233
_cell_angle_alpha 90.00
_cell_angle_beta 90.00
_cell_angle_gamma 90.00
_symmetry_space_group_name_H-M 'F -4 3 m'
_symmetry_Int_Tables_number 216
_symmetry_space_group_name_Hall 'F -4 2 3'
loop_
_atom_site_label
_atom_site_type_symbol
_atom_site_fract_x
_atom_site_fract_y
_atom_site_fract_z
_atom_site_occupancy
Tb1 Tb 0.0000 0.0000 0.0000 1
Y1 Y 0.0000 0.0000 0.5000 1
Mg1 Mg 0.2500 0.2500 0.7500 1
In1 In 0.2500 0.2500 0.2500 1

No. 2
# Sr4Nb3IrN4O8, optimized geometry, DFT PBE
# Raw total energy   -7.81 eV per atom
data_Sr4Nb3IrN4O8
_chemical_formula_sum 'Sr4 Nb3 Ir1 N4 O8'
_cell_length_a 5.6607
_cell_length_b 5.6607
_cell_length_c 8.0958
_cell_angle_alpha 90.00
_cell_angle_beta 90.00
_cell_angle_gamma 90.00
_symmetry_space_group_name_H-M 'P 4/m'
_symmetry_Int_Tables_number 83
loop_
_symmetry_equiv_pos_as_xyz
'x,y,z'
'-x,-y,-z'
'-y,x,z'
'y,-x,-z'
'-x,-y,z'
'x,y,-z'
'y,-x,z'
'-y,x,-z'
loop_
_atom_site_label
_atom_site_type_symbol
_atom_site_fract_x
_atom_site_fract_y
_atom_site_fract_z
_atom_site_occupancy
Sr1 Sr 0.0000 0.5000 0.2434 1
Nb1 Nb 0.0000 0.0000 0.0000 1
Nb2 Nb 0.0000 0.0000 0.5000 1
Nb3 Nb 0.5000 0.5000 0.5000 1
Ir1 Ir 0.5000 0.5000 0.0000 1
N1 N 0.0000 0.0000 0.2512 1
N2 N 0.5000 0.5000 0.2443 1
O1 O 0.1953 0.6949 0.5000 1
O2 O 0.2095 0.2905 0.0000 1

No. 3
# AcPdNO, optimized geometry, DFT PBE
# Raw total energy   -6.75 eV per atom
# Relative energy among the computed polymorphs   235 meV/atom
data_AcPdNO
_chemical_formula_sum 'Ac2 Pd2 N2 O2'
_cell_length_a 4.8062
_cell_length_b 7.5316
_cell_length_c 4.4744
_cell_angle_alpha 90.00
_cell_angle_beta 90.00
_cell_angle_gamma 90.00
_symmetry_space_group_name_H-M 'P m c 21'
_symmetry_Int_Tables_number 26
loop_
_symmetry_equiv_pos_as_xyz
'x,y,z'
'-x,-y,z+1/2'
'-x,y,z'
'x,-y,z+1/2'
loop_
_atom_site_label
_atom_site_type_symbol
_atom_site_fract_x
_atom_site_fract_y
_atom_site_fract_z
_atom_site_occupancy
Ac1 Ac 0.0000 0.2093 0.0000 1
Pd1 Pd 0.5000 0.4032 0.4972 1
N1 N 0.5000 0.3355 0.0475 1
O1 O 0.0000 0.1150 0.4993 1

No. 4
# Na4SbAsPt2, optimized geometry, DFT PBE
# Raw total energy   -3.55 eV per atom
# Relative energy among the computed polymorphs   149 meV/atom
data_Na4SbAsPt2
_chemical_formula_sum 'Na4 Sb1 As1 Pt2'
_cell_length_a 4.7065
_cell_length_b 4.7065
_cell_length_c 6.7560
_cell_angle_alpha 90.00
_cell_angle_beta 90.00
_cell_angle_gamma 90.00
_symmetry_space_group_name_H-M 'P -4 m 2'
_symmetry_Int_Tables_number 115
loop_
_symmetry_equiv_pos_as_xyz
'x,y,z'
'y,-x,-z'
'-x,-y,z'
'-y,x,-z'
'-x,y,z'
'-y,-x,-z'
'x,-y,z'
'y,x,-z'
loop_
_atom_site_label
_atom_site_type_symbol
_atom_site_fract_x
_atom_site_fract_y
_atom_site_fract_z
_atom_site_occupancy
Na1 Na 0.0000 0.0000 0.0000 1
Na2 Na 0.0000 0.5000 0.7321 1
Na3 Na 0.5000 0.5000 0.5000 1
Sb1 Sb 0.5000 0.5000 0.0000 1
As1 As 0.0000 0.0000 0.5000 1
Pt1 Pt 0.0000 0.5000 0.2502 1

No. 5
# Fe3B4Se2, optimized geometry, DFT PBE
# Raw total energy   -6.38 eV per atom
data_Fe3B4Se2
_chemical_formula_sum 'Fe3 B4 Se2'
_cell_length_a 6.6433
_cell_length_b 2.7138
_cell_length_c 6.6587
_cell_angle_alpha 90.00
_cell_angle_beta 119.92
_cell_angle_gamma 90.00
_symmetry_space_group_name_H-M 'P 1 m 1'
_symmetry_Int_Tables_number 6
loop_
_symmetry_equiv_pos_as_xyz
'x,y,z'
'x,-y,z'
loop_
_atom_site_label
_atom_site_type_symbol
_atom_site_fract_x
_atom_site_fract_y
_atom_site_fract_z
_atom_site_occupancy
Fe1 Fe 0.0000 0.0000 0.0000 1
Fe2 Fe 0.0011 0.0000 0.3865 1
Fe3 Fe 0.6137 0.0000 0.0020 1
B1 B 0.1785 0.5000 0.2806 1
B2 B 0.7166 0.5000 0.8235 1
B3 B 0.7201 0.5000 0.2848 1
B4 B 0.8716 0.5000 0.1295 1
Se1 Se 0.2042 0.0000 0.7946 1
Se2 Se 0.5387 0.5000 0.4636 1

No. 6
# Nd2GdNi4Sn4, optimized geometry, DFT PBE
# Raw total energy   -5.31 eV per atom
data_Nd2GdNi4Sn4
_chemical_formula_sum 'Nd4 Gd2 Ni8 Sn8'
_cell_length_a 4.5067
_cell_length_b 6.9723
_cell_length_c 14.5321
_cell_angle_alpha 90.00
_cell_angle_beta 90.00
_cell_angle_gamma 90.00
_symmetry_space_group_name_H-M 'I m m m'
_symmetry_Int_Tables_number 71
_symmetry_space_group_name_Hall '-I 2 2'
loop_
_atom_site_label
_atom_site_type_symbol
_atom_site_fract_x
_atom_site_fract_y
_atom_site_fract_z
_atom_site_occupancy
Nd1 Nd 0.0000 0.0000 0.1327 1
Gd1 Gd 0.0000 0.5000 0.0000 1
Ni1 Ni 0.0000 0.1868 0.3254 1
Sn1 Sn 0.0000 0.2924 0.5000 1
Sn2 Sn 0.0000 0.5000 0.2155 1

No. 7
# SrThSi, optimized geometry, DFT PBE
# Raw total energy   -4.89 eV per atom
data_SrThSi
_chemical_formula_sum 'Sr4 Th4 Si4'
_cell_length_a 7.2061
_cell_length_b 7.2061
_cell_length_c 7.2061
_cell_angle_alpha 90.00
_cell_angle_beta 90.00
_cell_angle_gamma 90.00
_symmetry_space_group_name_H-M 'F -4 3 m'
_symmetry_Int_Tables_number 216
_symmetry_space_group_name_Hall 'F -4 2 3'
loop_
_atom_site_label
_atom_site_type_symbol
_atom_site_fract_x
_atom_site_fract_y
_atom_site_fract_z
_atom_site_occupancy
Sr1 Sr 0.0000 0.0000 0.0000 1
Th1 Th 0.0000 0.0000 0.5000 1
Si1 Si 0.2500 0.2500 0.2500 1

No. 8
# Ac3MgCo, optimized geometry, DFT PBE
# Raw total energy   -4.23 eV per atom
data_Ac3MgCo
_chemical_formula_sum 'Ac12 Mg4 Co4'
_cell_length_a 7.9138
_cell_length_b 11.0912
_cell_length_c 8.0335
_cell_angle_alpha 90.00
_cell_angle_beta 90.00
_cell_angle_gamma 90.00
_symmetry_space_group_name_H-M 'I m m a'
_symmetry_Int_Tables_number 74
_symmetry_space_group_name_Hall '-I 2b 2'
loop_
_atom_site_label
_atom_site_type_symbol
_atom_site_fract_x
_atom_site_fract_y
_atom_site_fract_z
_atom_site_occupancy
Ac1 Ac 0.0000 0.2500 0.0479 1
Ac2 Ac 0.2500 0.0253 0.7500 1
Mg1 Mg 0.0000 0.2500 0.4965 1
Co1 Co 0.0000 0.0000 0.0000 1

No. 9
# HgAuNO, optimized geometry, DFT PBE
# Raw total energy   -3.58 eV per atom
# Relative energy among the computed polymorphs   0 meV/atom
data_HgAuNO
_chemical_formula_sum 'Hg2 Au2 N2 O2'
_cell_length_a 3.9916
_cell_length_b 4.8928
_cell_length_c 6.3633
_cell_angle_alpha 90.00
_cell_angle_beta 90.00
_cell_angle_gamma 90.00
_symmetry_space_group_name_H-M 'P m c 21'
_symmetry_Int_Tables_number 26
loop_
_symmetry_equiv_pos_as_xyz
'x,y,z'
'-x,-y,z+1/2'
'-x,y,z'
'x,-y,z+1/2'
loop_
_atom_site_label
_atom_site_type_symbol
_atom_site_fract_x
_atom_site_fract_y
_atom_site_fract_z
_atom_site_occupancy
Hg1 Hg 0.0000 0.0528 0.0000 1
Au1 Au 0.5000 0.4816 0.2837 1
N1 N 0.5000 0.2242 0.0237 1
O1 O 0.0000 0.3979 0.3393 1

No. 10
# AlFeCuRe, optimized geometry, DFT PBE
# Raw total energy   -6.82 eV per atom
# Relative energy among the computed polymorphs   172 meV/atom
data_AlFeCuRe
_chemical_formula_sum 'Al4 Fe4 Cu4 Re4'
_cell_length_a 5.9315
_cell_length_b 5.9315
_cell_length_c 5.9315
_cell_angle_alpha 90.00
_cell_angle_beta 90.00
_cell_angle_gamma 90.00
_symmetry_space_group_name_H-M 'F -4 3 m'
_symmetry_Int_Tables_number 216
_symmetry_space_group_name_Hall 'F -4 2 3'
loop_
_atom_site_label
_atom_site_type_symbol
_atom_site_fract_x
_atom_site_fract_y
_atom_site_fract_z
_atom_site_occupancy
Al1 Al 0.0000 0.0000 0.0000 1
Fe1 Fe 0.2500 0.2500 0.2500 1
Cu1 Cu 0.0000 0.0000 0.5000 1
Re1 Re 0.2500 0.2500 0.7500 1

No. 11
# CdPt10, optimized geometry, DFT PBE
# Raw total energy   -5.54 eV per atom
# DFT formation energy   0.5 eV/f.u.
data_CdPt10
_chemical_formula_sum 'Cd4 Pt40'
_cell_length_a 8.7884
_cell_length_b 3.9118
_cell_length_c 34.0108
_cell_angle_alpha 90.00
_cell_angle_beta 90.53
_cell_angle_gamma 90.00
_symmetry_space_group_name_H-M 'C 1 2/m 1'
_symmetry_Int_Tables_number 12
loop_
_symmetry_equiv_pos_as_xyz
'x,y,z'
'-x,-y,-z'
'-x,y,-z'
'x,-y,z'
'x+1/2,y+1/2,z'
'-x+1/2,-y+1/2,-z'
'-x+1/2,y+1/2,-z'
'x+1/2,-y+1/2,z'
loop_
_atom_site_label
_atom_site_type_symbol
_atom_site_fract_x
_atom_site_fract_y
_atom_site_fract_z
_atom_site_occupancy
Cd1 Cd 0.1543 0.0000 0.2839 1
Pt1 Pt 0.0454 0.5000 0.2293 1
Pt2 Pt 0.0495 0.5000 0.9600 1
Pt3 Pt 0.0506 0.0000 0.0933 1
Pt4 Pt 0.0508 0.0000 0.8270 1
Pt5 Pt 0.1503 0.0000 0.0134 1
Pt6 Pt 0.1495 0.5000 0.1472 1
Pt7 Pt 0.1505 0.5000 0.8802 1
Pt8 Pt 0.1509 0.0000 0.7478 1
Pt9 Pt 0.2468 0.0000 0.2005 1
Pt10 Pt 0.2496 0.0000 0.9332 1

No. 12
# KCuI3, optimized geometry, DFT PBE
# Raw total energy   -2.51 eV per atom
data_KCuI3
_chemical_formula_sum 'K4 Cu4 I12'
_cell_length_a 13.0225
_cell_length_b 7.7799
_cell_length_c 8.5126
_cell_angle_alpha 90.00
_cell_angle_beta 116.53
_cell_angle_gamma 90.00
_symmetry_space_group_name_H-M 'C 1 2/m 1'
_symmetry_Int_Tables_number 12
loop_
_symmetry_equiv_pos_as_xyz
'x,y,z'
'-x,-y,-z'
'-x,y,-z'
'x,-y,z'
'x+1/2,y+1/2,z'
'-x+1/2,-y+1/2,-z'
'-x+1/2,y+1/2,-z'
'x+1/2,-y+1/2,z'
loop_
_atom_site_label
_atom_site_type_symbol
_atom_site_fract_x
_atom_site_fract_y
_atom_site_fract_z
_atom_site_occupancy
K1 K 0.2165 0.0000 0.2117 1
Cu1 Cu 0.0000 0.0000 0.5000 1
Cu2 Cu 0.0000 0.5000 0.0000 1
I1 I 0.0461 0.2658 0.8232 1
I2 I 0.2125 0.0000 0.6249 1